1.
Computed, not measured: ThAl3Os after structural relaxation at the PBE level of DFT.

Output
Final energy (eV per atom): -6.459
Energy of formation from the pure elements (eV/atom): -0.48
Space-group type: Pnma, No. 62
M_tot (μB/f.u.): 0.00
Volume (Å³/cell): 396

Geometry as CIF:
```
data_ThAl3Os
_chemical_formula_sum 'Th4 Al12 Os4'
_space_group_name_H-M_alt 'P 1'
_space_group_IT_number 1
_cell_length_a 4.185
_cell_length_b 8.476
_cell_length_c 11.162
_cell_angle_alpha 90.00
_cell_angle_beta 90.00
_cell_angle_gamma 90.00
loop_
_space_group_symop_operation_xyz
'x,y,z'
loop_
_atom_site_label
_atom_site_fract_x
_atom_site_fract_y
_atom_site_fract_z
Th1 0.750 0.803 0.011
Th2 0.250 0.697 0.511
Th3 0.750 0.303 0.489
Th4 0.250 0.197 0.989
Al1 0.250 0.548 0.086
Al2 0.750 0.452 0.914
Al3 0.250 0.048 0.414
Al4 0.750 0.952 0.586
Al5 0.250 0.401 0.723
Al6 0.750 0.099 0.223
Al7 0.250 0.901 0.777
Al8 0.750 0.657 0.724
Al9 0.250 0.343 0.276
Al10 0.750 0.157 0.776
Al11 0.750 0.599 0.277
Al12 0.250 0.843 0.224
Os1 0.250 0.129 0.639
Os2 0.250 0.629 0.861
Os3 0.750 0.371 0.139
Os4 0.750 0.871 0.361
```

***

2.
Computed, not measured: Th2Al2Os3 after structural relaxation at the PBE level of DFT.

Output
Final energy (eV per atom): -8.337
Energy of formation from the pure elements (eV/atom): -0.34
Space-group type: C2/m, No. 12
M_tot (μB/f.u.): 0.00
Volume (Å³/cell): 138

Geometry as CIF:
```
data_Th2Al2Os3
_chemical_formula_sum 'Th2 Al2 Os3'
_space_group_name_H-M_alt 'P 1'
_space_group_IT_number 1
_cell_length_a 4.457
_cell_length_b 6.221
_cell_length_c 5.596
_cell_angle_alpha 102.86
_cell_angle_beta 113.47
_cell_angle_gamma 90.00
loop_
_space_group_symop_operation_xyz
'x,y,z'
loop_
_atom_site_label
_atom_site_fract_x
_atom_site_fract_y
_atom_site_fract_z
Th1 0.371 0.193 0.742
Th2 0.629 0.807 0.258
Al1 0.103 0.408 0.207
Al2 0.897 0.592 0.793
Os1 0.000 0.000 0.000
Os2 0.325 0.691 0.649
Os3 0.675 0.309 0.351
```

***

> Which of these has the lowest volume?

Th2Al2Os3

***

> Which value of final energy does entry 1 give?

-6.459 eV per atom

***

> Among the records above, which one has the lowest volume?

Th2Al2Os3